Record 1
Below is an optimized crystal structure of Pm3SiSn, with properties calculated at the GGA-PBE level.

The value obtained for the energy relative to the elements, uncorrected is -505 meV per atom. Its total moment is 0.000 μB/f.u. As for the space group: No. 194.

Cell and atoms, written as POSCAR:
```
Pm3SiSn
1.0
7.621 0.000 0.000
-3.810 6.600 0.000
0.000 0.000 5.796
Pm Si Sn
6 2 2
direct
0.184 0.368 0.250
0.184 0.816 0.250
0.368 0.184 0.750
0.632 0.816 0.250
0.816 0.184 0.750
0.816 0.632 0.750
0.000 0.000 0.000
0.000 0.000 0.500
0.333 0.667 0.750
0.667 0.333 0.250
```

=====

Record 2
Below is an optimized crystal structure of PmSiSn, with properties calculated at the GGA-PBE level.

The value obtained for the energy relative to the elements, uncorrected is -580 meV per atom. Its total moment is 0.000 μB/f.u. As for the space group: No. 63.

Cell and atoms, written as POSCAR:
```
PmSiSn
1.0
2.115 -8.843 0.000
2.115 8.843 0.000
0.000 0.000 3.874
Pm Si Sn
2 2 2
direct
0.094 0.906 0.750
0.906 0.094 0.250
0.460 0.540 0.750
0.540 0.460 0.250
0.293 0.707 0.750
0.707 0.293 0.250
```

=====

Record 3
Below is an optimized crystal structure of Pm5SiSn3, with properties calculated at the GGA-PBE level.

The value obtained for the energy relative to the elements, uncorrected is -749 meV per atom. Its total moment is 0.014 μB/f.u. As for the space group: No. 193.

Cell and atoms, written as POSCAR:
```
Pm5SiSn3
1.0
9.514 0.000 0.000
-4.757 8.239 0.000
0.000 0.000 6.589
Pm Si Sn
10 2 6
direct
0.000 0.253 0.250
0.000 0.747 0.750
0.253 0.000 0.250
0.253 0.253 0.750
0.333 0.667 0.000
0.333 0.667 0.500
0.667 0.333 0.000
0.667 0.333 0.500
0.747 0.000 0.750
0.747 0.747 0.250
0.000 0.000 0.000
0.000 0.000 0.500
0.000 0.389 0.750
0.000 0.611 0.250
0.389 0.000 0.750
0.389 0.389 0.250
0.611 0.000 0.250
0.611 0.611 0.750
```

=====

Record 4
Below is an optimized crystal structure of Pm6Si4Sn, with properties calculated at the GGA-PBE level.

The value obtained for the energy relative to the elements, uncorrected is -501 meV per atom. Its total moment is 0.000 μB/f.u. As for the space group: No. 121.

Cell and atoms, written as POSCAR:
```
Pm6Si4Sn
1.0
-3.741 3.741 5.317
3.741 -3.741 5.317
3.741 3.741 -5.317
Pm Si Sn
6 4 1
direct
0.000 0.500 0.500
0.045 0.045 0.629
0.416 0.416 0.371
0.500 0.000 0.500
0.584 0.955 0.000
0.955 0.584 0.000
0.067 0.067 0.268
0.201 0.933 0.000
0.799 0.799 0.732
0.933 0.201 0.000
0.500 0.500 0.000
```

=====

Record 5
Below is an optimized crystal structure of Pm3SiSn2, with properties calculated at the GGA-PBE level.

The value obtained for the energy relative to the elements, uncorrected is -678 meV per atom. Its total moment is 0.352 μB/f.u. As for the space group: No. 62.

Cell and atoms, written as POSCAR:
```
Pm3SiSn2
1.0
12.600 0.000 0.000
0.000 4.361 0.000
0.000 0.000 12.211
Pm Si Sn
12 4 8
direct
0.056 0.250 0.120
0.114 0.750 0.549
0.230 0.250 0.785
0.270 0.750 0.285
0.386 0.250 0.049
0.444 0.750 0.620
0.556 0.250 0.380
0.614 0.750 0.951
0.730 0.250 0.715
0.770 0.750 0.215
0.886 0.250 0.451
0.944 0.750 0.880
0.127 0.250 0.371
0.373 0.750 0.871
0.627 0.250 0.129
0.873 0.750 0.629
0.005 0.750 0.300
0.193 0.750 0.997
0.307 0.250 0.497
0.495 0.250 0.800
0.505 0.750 0.200
0.693 0.750 0.503
0.807 0.250 0.003
0.995 0.250 0.700
```

=====

Record 6
Below is an optimized crystal structure of Pm5Si4Sn2, with properties calculated at the GGA-PBE level.

The value obtained for the energy relative to the elements, uncorrected is -513 meV per atom. Its total moment is 0.000 μB/f.u. As for the space group: No. 12.

Cell and atoms, written as POSCAR:
```
Pm5Si4Sn2
1.0
4.713 -4.243 0.000
4.713 4.243 0.000
-2.327 0.000 7.187
Pm Si Sn
5 4 2
direct
0.000 0.000 0.000
0.075 0.566 0.287
0.434 0.925 0.713
0.566 0.075 0.287
0.925 0.434 0.713
0.082 0.082 0.404
0.307 0.307 0.995
0.693 0.693 0.005
0.918 0.918 0.596
0.419 0.419 0.690
0.581 0.581 0.310
```